*i*
{"formula": "TmMoN2", "functional": "PBE", "state": "relaxed", "lattice_angstrom": [[5.654, 0.000, 0.000], [0.000, 3.167, 0.000], [0.000, 0.000, 10.526]], "species": ["Tm", "Tm", "Tm", "Tm", "Mo", "Mo", "Mo", "Mo", "N", "N", "N", "N", "N", "N", "N", "N"], "frac_coords": [[0.078, 0.250, 0.146], [0.422, 0.750, 0.646], [0.578, 0.250, 0.354], [0.922, 0.750, 0.854], [0.068, 0.750, 0.406], [0.432, 0.250, 0.906], [0.568, 0.750, 0.094], [0.932, 0.250, 0.594], [0.165, 0.250, 0.751], [0.236, 0.750, 0.995], [0.264, 0.250, 0.495], [0.335, 0.750, 0.251], [0.665, 0.250, 0.749], [0.736, 0.750, 0.505], [0.764, 0.250, 0.005], [0.835, 0.750, 0.249]], "volume_a3_per_cell": 188.46, "n_ef_per_ev_atom": 0.16}


*ii*
{"formula": "TmMoN2", "functional": "PBE", "state": "relaxed", "lattice_angstrom": [[1.538, 0.888, 5.707], [-1.538, 0.888, 5.707], [0.000, -1.776, 5.707]], "species": ["Tm", "Mo", "N", "N"], "frac_coords": [[0.000, 0.000, 0.000], [0.828, 0.828, 0.828], [0.423, 0.423, 0.423], [0.572, 0.572, 0.572]], "volume_a3_per_cell": 46.75, "n_ef_per_ev_atom": 0.59}


*iii*
{"formula": "TmMoN2", "functional": "PBE", "state": "relaxed", "lattice_angstrom": [[1.600, 0.924, 5.246], [-1.600, 0.924, 5.246], [0.000, -1.848, 5.246]], "species": ["Tm", "Mo", "N", "N"], "frac_coords": [[0.000, 0.000, 0.000], [0.500, 0.500, 0.500], [0.245, 0.245, 0.245], [0.755, 0.755, 0.755]], "volume_a3_per_cell": 46.54, "n_ef_per_ev_atom": 0.34}


From most stable to least stable, the computed energies give *i*, *iii*, *ii*.


*i*
{"formula": "VMo3N", "functional": "PBE", "state": "relaxed", "lattice_angstrom": [[4.110, 0.000, 0.000], [0.000, 4.110, 0.000], [0.000, 0.000, 4.110]], "species": ["V", "Mo", "Mo", "Mo", "N"], "frac_coords": [[0.000, 0.000, 0.000], [0.000, 0.500, 0.500], [0.500, 0.000, 0.500], [0.500, 0.500, 0.000], [0.500, 0.500, 0.500]], "volume_a3_per_cell": 69.44, "n_ef_per_ev_atom": 1.45}


*ii*
{"formula": "VMo3N", "functional": "PBE", "state": "relaxed", "lattice_angstrom": [[4.479, 0.000, 0.000], [0.000, 4.479, 0.000], [0.000, 0.000, 4.479]], "species": ["V", "Mo", "Mo", "Mo", "N"], "frac_coords": [[0.000, 0.000, 0.000], [0.000, 0.000, 0.500], [0.000, 0.500, 0.000], [0.500, 0.000, 0.000], [0.500, 0.500, 0.500]], "volume_a3_per_cell": 89.83, "n_ef_per_ev_atom": 1.40}


From most stable to least stable, the computed energies give *i*, *ii*.


*i*
{"formula": "MoW3N", "functional": "PBE", "state": "relaxed", "lattice_angstrom": [[4.142, 0.000, 0.000], [0.000, 4.142, 0.000], [0.000, 0.000, 4.142]], "species": ["Mo", "W", "W", "W", "N"], "frac_coords": [[0.000, 0.000, 0.000], [0.000, 0.500, 0.500], [0.500, 0.000, 0.500], [0.500, 0.500, 0.000], [0.500, 0.500, 0.500]], "volume_a3_per_cell": 71.04, "n_ef_per_ev_atom": 1.20}


*ii*
{"formula": "MoW3N", "functional": "PBE", "state": "relaxed", "lattice_angstrom": [[4.722, 0.000, 0.000], [0.000, 4.722, 0.000], [0.000, 0.000, 4.722]], "species": ["Mo", "W", "W", "W", "N"], "frac_coords": [[0.000, 0.000, 0.000], [0.000, 0.000, 0.500], [0.000, 0.500, 0.000], [0.500, 0.000, 0.000], [0.500, 0.500, 0.500]], "volume_a3_per_cell": 105.31, "n_ef_per_ev_atom": 0.83}


From most stable to least stable, the computed energies give *i*, *ii*.


*i*
{"formula": "ZnMo2N", "functional": "PBE", "state": "relaxed", "lattice_angstrom": [[2.508, -1.408, 0.000], [2.508, 1.408, 0.000], [-1.749, 0.000, 7.302]], "species": ["Zn", "Mo", "Mo", "N"], "frac_coords": [[0.000, 0.000, 0.000], [0.225, 0.225, 0.691], [0.443, 0.443, 0.310], [0.832, 0.832, 0.502]], "volume_a3_per_cell": 51.58, "n_ef_per_ev_atom": 0.50}


*ii*
{"formula": "ZnMo2N", "functional": "PBE", "state": "relaxed", "lattice_angstrom": [[0.000, 2.938, 2.938], [2.938, 0.000, 2.938], [2.938, 2.938, 0.000]], "species": ["Zn", "Mo", "Mo", "N"], "frac_coords": [[0.000, 0.000, 0.000], [0.250, 0.250, 0.250], [0.750, 0.750, 0.750], [0.500, 0.500, 0.500]], "volume_a3_per_cell": 50.72, "n_ef_per_ev_atom": 0.87}


*iii*
{"formula": "ZnMo2N", "functional": "PBE", "state": "relaxed", "lattice_angstrom": [[1.415, 0.817, 8.093], [-1.415, 0.817, 8.093], [0.000, -1.634, 8.093]], "species": ["Zn", "Mo", "Mo", "N"], "frac_coords": [[0.000, 0.000, 0.000], [0.109, 0.109, 0.109], [0.891, 0.891, 0.891], [0.500, 0.500, 0.500]], "volume_a3_per_cell": 56.12, "n_ef_per_ev_atom": 0.46}


*iv*
{"formula": "ZnMo2N", "functional": "PBE", "state": "relaxed", "lattice_angstrom": [[-2.478, 2.478, 5.504], [2.478, -2.478, 5.504], [2.478, 2.478, -5.504]], "species": ["Zn", "Zn", "Mo", "Mo", "Mo", "Mo", "N", "N"], "frac_coords": [[0.000, 0.000, 0.000], [0.750, 0.250, 0.500], [0.244, 0.625, 0.119], [0.375, 0.494, 0.619], [0.506, 0.125, 0.881], [0.875, 0.756, 0.381], [0.250, 0.750, 0.500], [0.500, 0.500, 0.000]], "volume_a3_per_cell": 135.18, "n_ef_per_ev_atom": 1.03}


From most stable to least stable, the computed energies give *i*, *iii*, *iv*, *ii*.


*i*
{"formula": "ZrMo3N", "functional": "PBE", "state": "relaxed", "lattice_angstrom": [[4.793, 0.000, 0.000], [0.000, 4.793, 0.000], [0.000, 0.000, 4.793]], "species": ["Zr", "Mo", "Mo", "Mo", "N"], "frac_coords": [[0.000, 0.000, 0.000], [0.000, 0.000, 0.500], [0.000, 0.500, 0.000], [0.500, 0.000, 0.000], [0.500, 0.500, 0.500]], "volume_a3_per_cell": 110.13, "n_ef_per_ev_atom": 0.80}


*ii*
{"formula": "ZrMo3N", "functional": "PBE", "state": "relaxed", "lattice_angstrom": [[4.223, 0.000, 0.000], [0.000, 4.223, 0.000], [0.000, 0.000, 4.223]], "species": ["Zr", "Mo", "Mo", "Mo", "N"], "frac_coords": [[0.000, 0.000, 0.000], [0.000, 0.500, 0.500], [0.500, 0.000, 0.500], [0.500, 0.500, 0.000], [0.500, 0.500, 0.500]], "volume_a3_per_cell": 75.30, "n_ef_per_ev_atom": 0.85}


From most stable to least stable, the computed energies give *ii*, *i*.


*i*
{"formula": "ZrMoN2", "functional": "PBE", "state": "relaxed", "lattice_angstrom": [[0.000, 2.771, 2.771], [2.771, 0.000, 2.771], [2.771, 2.771, 0.000]], "species": ["Zr", "Mo", "N", "N"], "frac_coords": [[0.000, 0.000, 0.000], [0.500, 0.500, 0.500], [0.250, 0.250, 0.250], [0.750, 0.750, 0.750]], "volume_a3_per_cell": 42.55, "n_ef_per_ev_atom": 0.00}


*ii*
{"formula": "ZrMoN2", "functional": "PBE", "state": "relaxed", "lattice_angstrom": [[-2.368, 2.368, 4.986], [2.368, -2.368, 4.986], [2.368, 2.368, -4.986]], "species": ["Zr", "Zr", "Mo", "Mo", "N", "N", "N", "N"], "frac_coords": [[0.000, 0.000, 0.000], [0.750, 0.250, 0.500], [0.250, 0.750, 0.500], [0.500, 0.500, 0.000], [0.154, 0.625, 0.029], [0.375, 0.404, 0.529], [0.596, 0.125, 0.971], [0.875, 0.846, 0.471]], "volume_a3_per_cell": 111.82, "n_ef_per_ev_atom": 0.74}


*iii*
{"formula": "ZrMoN2", "functional": "PBE", "state": "relaxed", "lattice_angstrom": [[1.639, 0.946, 6.108], [-1.639, 0.946, 6.108], [0.000, -1.893, 6.108]], "species": ["Zr", "Mo", "N", "N"], "frac_coords": [[0.000, 0.000, 0.000], [0.500, 0.500, 0.500], [0.395, 0.395, 0.395], [0.605, 0.605, 0.605]], "volume_a3_per_cell": 56.84, "n_ef_per_ev_atom": 0.38}


From most stable to least stable, the computed energies give *ii*, *iii*, *i*.


*i*
{"formula": "ZrMoN2", "functional": "PBE", "state": "relaxed", "lattice_angstrom": [[5.538, 0.000, 0.000], [0.000, 3.073, 0.000], [0.000, 0.000, 10.586]], "species": ["Zr", "Zr", "Zr", "Zr", "Mo", "Mo", "Mo", "Mo", "N", "N", "N", "N", "N", "N", "N", "N"], "frac_coords": [[0.087, 0.250, 0.151], [0.413, 0.750, 0.651], [0.587, 0.250, 0.349], [0.913, 0.750, 0.849], [0.071, 0.750, 0.406], [0.429, 0.250, 0.906], [0.571, 0.750, 0.094], [0.929, 0.250, 0.594], [0.162, 0.250, 0.754], [0.225, 0.750, 0.999], [0.275, 0.250, 0.499], [0.338, 0.750, 0.254], [0.662, 0.250, 0.746], [0.725, 0.750, 0.501], [0.775, 0.250, 0.001], [0.838, 0.750, 0.246]], "volume_a3_per_cell": 180.13, "n_ef_per_ev_atom": 0.28}


*ii*
{"formula": "ZrMoN2", "functional": "PBE", "state": "relaxed", "lattice_angstrom": [[1.488, 0.859, 5.836], [-1.488, 0.859, 5.836], [0.000, -1.718, 5.836]], "species": ["Zr", "Mo", "N", "N"], "frac_coords": [[0.000, 0.000, 0.000], [0.168, 0.168, 0.168], [0.425, 0.425, 0.425], [0.575, 0.575, 0.575]], "volume_a3_per_cell": 44.74, "n_ef_per_ev_atom": 0.58}


From most stable to least stable, the computed energies give *i*, *ii*.


*i*
{"formula": "Zr3MoN", "functional": "PBE", "state": "relaxed", "lattice_angstrom": [[4.475, 0.000, 0.000], [0.000, 4.475, 0.000], [0.000, 0.000, 4.475]], "species": ["Zr", "Zr", "Zr", "Mo", "N"], "frac_coords": [[0.000, 0.000, 0.500], [0.000, 0.500, 0.000], [0.500, 0.000, 0.000], [0.500, 0.500, 0.500], [0.000, 0.000, 0.000]], "volume_a3_per_cell": 89.60, "n_ef_per_ev_atom": 0.79}


*ii*
{"formula": "Zr3MoN", "functional": "PBE", "state": "relaxed", "lattice_angstrom": [[4.989, 0.000, 0.000], [0.000, 4.989, 0.000], [0.000, 0.000, 4.989]], "species": ["Zr", "Zr", "Zr", "Mo", "N"], "frac_coords": [[0.000, 0.000, 0.500], [0.000, 0.500, 0.000], [0.500, 0.000, 0.000], [0.000, 0.000, 0.000], [0.500, 0.500, 0.500]], "volume_a3_per_cell": 124.17, "n_ef_per_ev_atom": 1.35}


From most stable to least stable, the computed energies give *i*, *ii*.


*i*
{"formula": "NaMo", "functional": "PBE", "state": "relaxed", "lattice_angstrom": [[0.000, 3.146, 3.146], [3.146, 0.000, 3.146], [3.146, 3.146, 0.000]], "species": ["Na", "Mo"], "frac_coords": [[0.000, 0.000, 0.000], [0.500, 0.500, 0.500]], "volume_a3_per_cell": 62.28, "n_ef_per_ev_atom": 0.77}


*ii*
{"formula": "NaMo", "functional": "PBE", "state": "relaxed", "lattice_angstrom": [[6.315, 0.000, 0.000], [0.000, 4.749, 0.000], [0.000, 0.000, 12.322]], "species": ["Na", "Na", "Na", "Na", "Na", "Na", "Na", "Na", "Mo", "Mo", "Mo", "Mo", "Mo", "Mo", "Mo", "Mo"], "frac_coords": [[0.077, 0.250, 0.075], [0.121, 0.250, 0.803], [0.379, 0.750, 0.303], [0.423, 0.750, 0.575], [0.577, 0.250, 0.425], [0.621, 0.250, 0.697], [0.879, 0.750, 0.197], [0.923, 0.750, 0.925], [0.046, 0.250, 0.371], [0.049, 0.250, 0.558], [0.451, 0.750, 0.058], [0.454, 0.750, 0.871], [0.546, 0.250, 0.129], [0.549, 0.250, 0.942], [0.951, 0.750, 0.442], [0.954, 0.750, 0.629]], "volume_a3_per_cell": 369.57, "n_ef_per_ev_atom": 0.59}


From most stable to least stable, the computed energies give *ii*, *i*.


*i*
{"formula": "NaMo", "functional": "PBE", "state": "relaxed", "lattice_angstrom": [[4.662, -1.604, 0.000], [4.662, 1.604, 0.000], [-1.588, 0.000, 5.736]], "species": ["Na", "Na", "Mo", "Mo"], "frac_coords": [[0.118, 0.118, 0.411], [0.882, 0.882, 0.589], [0.346, 0.346, 0.030], [0.654, 0.654, 0.970]], "volume_a3_per_cell": 85.78, "n_ef_per_ev_atom": 0.85}


*ii*
{"formula": "NaMo", "functional": "PBE", "state": "relaxed", "lattice_angstrom": [[11.176, 0.000, 0.000], [0.000, 11.176, 0.000], [0.000, 0.000, 2.692]], "species": ["Na", "Na", "Na", "Na", "Na", "Na", "Na", "Na", "Mo", "Mo", "Mo", "Mo", "Mo", "Mo", "Mo", "Mo"], "frac_coords": [[0.000, 0.251, 0.000], [0.000, 0.749, 0.000], [0.251, 0.000, 0.000], [0.260, 0.260, 0.500], [0.260, 0.740, 0.500], [0.740, 0.260, 0.500], [0.740, 0.740, 0.500], [0.749, 0.000, 0.000], [0.110, 0.500, 0.500], [0.334, 0.500, 0.000], [0.500, 0.110, 0.500], [0.500, 0.334, 0.000], [0.500, 0.666, 0.000], [0.500, 0.890, 0.500], [0.666, 0.500, 0.000], [0.890, 0.500, 0.500]], "volume_a3_per_cell": 336.32, "n_ef_per_ev_atom": 0.72}


From most stable to least stable, the computed energies give *ii*, *i*.